CrGaTc2 | GGA-PBE | relaxed

a = 5.599 Å, b = 8.153 Å, c = 5.001 Å
α = 90.00°, β = 90.00°, γ = 90.00°
Fractional positions:
Cr1 0.285 0.750 0.459
Cr2 0.215 0.750 0.959
Cr3 0.715 0.250 0.541
Cr4 0.785 0.250 0.041
Ga1 0.341 0.250 0.920
Ga2 0.159 0.250 0.420
Ga3 0.659 0.750 0.080
Ga4 0.841 0.750 0.580
Tc1 0.904 0.502 0.245
Tc2 0.096 0.498 0.755
Tc3 0.404 0.498 0.255
Tc4 0.596 0.998 0.745
Tc5 0.096 0.002 0.755
Tc6 0.904 0.998 0.245
Tc7 0.404 0.002 0.255
Tc8 0.596 0.502 0.745

Total DFT energy (no corrections), eV/f.u.: -33.0
Calculated volume, Å³ per atom: 14.27
Symmetry: Pnma (62)
Density of states at the Fermi level, states/eV per cell: 14.90


CrGaTc | GGA-PBE | relaxed

a = 3.123 Å, b = 4.122 Å, c = 12.627 Å
α = 90.00°, β = 90.00°, γ = 90.00°
Site moments in Bohr magnetons follow the coordinates.
Fractional positions:
Cr1 0.500 0.000 0.710  0.84
Cr2 0.500 0.000 0.046  -0.26
Cr3 0.500 0.500 0.546  -0.26
Cr4 0.500 0.500 0.210  0.84
Tc1 0.000 0.000 0.878  -0.01
Tc2 0.000 0.000 0.549  -0.04
Tc3 0.000 0.500 0.049  -0.04
Tc4 0.000 0.500 0.378  -0.01
Ga1 0.000 0.500 0.706  -0.01
Ga2 0.500 0.000 0.382  -0.01
Ga3 0.500 0.500 0.882  -0.01
Ga4 0.000 0.000 0.206  -0.01

E above lowest polymorph, eV per formula unit: 0.340
Total DFT energy (no corrections), eV/f.u.: -23.1
Calculated volume, Å³ per atom: 13.55
Symmetry: Amm2 (38)
Density of states at the Fermi level, states/eV per cell: 9.13